Below is a geometry-optimized KMo structure, with properties calculated at the GGA-PBE level.

Cell: 2.8401 4.5198 9.9523 Å, 90.00 90.00 90.00°
Last column: nearest neighbours and their distance in Å.
Positions (direct):
K 0.0000 0.5000 0.3760  2 K 2.84
K 0.0000 0.0000 0.9573  2 K 2.84
Mo 0.5000 0.5000 0.7066  2 Mo 2.40
Mo 0.5000 0.0000 0.6267  2 Mo 2.40

Values from the calculation:
Energy relative to the elements in eV per formula unit: 2.23
SG: Pmma, No. 51
M_tot in μB per formula unit: 0.0

Below is a geometry-optimized KMo structure, with properties calculated at the GGA-PBE level.

Cell: 7.3731 7.3731 8.9520 Å, 84.72 84.72 25.52°
Last column: nearest neighbours and their distance in Å.
Positions (direct):
K 0.6201 0.6201 0.6509  2 K 3.26
K 0.3625 0.3625 0.3009  2 K 3.26
K 0.3555 0.3555 0.8322  2 K 3.26
Mo 0.0492 0.0492 0.0225  3 Mo 2.49-2.50
Mo 0.6713 0.6713 0.0848  4 Mo 2.47-2.50
Mo 0.1080 0.1080 0.2754  3 Mo 2.47-2.49

Values from the calculation:
Energy relative to the elements in eV per formula unit: 2.09
SG: Cm, No. 8
M_tot in μB per formula unit: 0.0

Below is a geometry-optimized KMo structure, with properties calculated at the GGA-PBE level.

Cell: 13.7784 13.7784 3.1372 Å, 90.00 90.00 90.00°
Last column: nearest neighbours and their distance in Å.
Positions (direct):
K 0.2678 0.7322 0.5000  2 K 3.14, 2 Mo 3.26
K 0.6366 0.0000 0.0000  2 K 3.14
K 0.2678 0.2678 0.5000  2 K 3.14, 2 Mo 3.26
K 0.7322 0.7322 0.5000  2 K 3.14, 2 Mo 3.26
K 0.3634 0.0000 0.0000  2 K 3.14
K 0.0000 0.3634 0.0000  2 K 3.14
K 0.7322 0.2678 0.5000  2 K 3.14, 2 Mo 3.26
K 0.0000 0.6366 0.0000  2 K 3.14
Mo 0.5000 0.2237 0.5000  2 Mo 2.38
Mo 0.7763 0.5000 0.5000  2 Mo 2.38
Mo 0.3540 0.5000 0.0000  2 Mo 2.38
Mo 0.5000 0.3540 0.0000  2 Mo 2.38
Mo 0.5000 0.6460 0.0000  2 Mo 2.38
Mo 0.5000 0.7763 0.5000  2 Mo 2.38
Mo 0.2237 0.5000 0.5000  2 Mo 2.38
Mo 0.6460 0.5000 0.0000  2 Mo 2.38

Values from the calculation:
Energy relative to the elements in eV per formula unit: 2.20
SG: P4/mmm, No. 123
M_tot in μB per formula unit: 0.2

Below is a geometry-optimized KMo structure, with properties calculated at the GGA-PBE level.

Cell: 10.3226 10.3226 10.3226 Å, 90.00 90.00 90.00°
Last column: nearest neighbours and their distance in Å.
Positions (direct):
K 0.5000 0.0000 0.7500  4 Mo 3.65
K 0.2500 0.5000 0.0000  4 Mo 3.65
K 0.0000 0.7500 0.5000  4 Mo 3.65
K 0.5000 0.0000 0.2500  4 Mo 3.65
K 0.7500 0.5000 0.0000  4 Mo 3.65
K 0.0000 0.2500 0.5000  4 Mo 3.65
Mo 0.2500 0.0000 0.5000  4 K 3.65
Mo 0.7500 0.0000 0.5000  4 K 3.65
Mo 0.0000 0.5000 0.2500  4 K 3.65
Mo 0.0000 0.5000 0.7500  4 K 3.65
Mo 0.5000 0.7500 0.0000  4 K 3.65
Mo 0.5000 0.2500 0.0000  4 K 3.65

Values from the calculation:
Energy relative to the elements in eV per formula unit: 5.45
SG: Pm-3n, No. 223
M_tot in μB per formula unit: 5.0

Below is a geometry-optimized KMo structure, with properties calculated at the GGA-PBE level.

Cell: 14.1714 14.1714 3.1964 Å, 90.00 90.00 120.00°
Last column: nearest neighbours and their distance in Å.
Positions (direct):
Mo 0.9477 0.4376 0.2500  2 Mo 2.29
Mo 0.5101 0.9477 0.7500  2 Mo 2.29
Mo 0.4899 0.0523 0.2500  2 Mo 2.29
Mo 0.4376 0.4899 0.7500  2 Mo 2.29
Mo 0.0523 0.5624 0.7500  2 Mo 2.29
Mo 0.5624 0.5101 0.2500  2 Mo 2.29
K 0.8496 0.6222 0.2500  2 K 3.20, 2 Mo 3.52-3.55
K 0.3778 0.2274 0.2500  2 K 3.20, 2 Mo 3.52-3.55
K 0.6222 0.7726 0.7500  2 K 3.20, 2 Mo 3.52-3.55
K 0.2274 0.8496 0.7500  2 K 3.20, 2 Mo 3.52-3.55
K 0.7726 0.1504 0.2500  2 K 3.20, 2 Mo 3.52-3.55
K 0.1504 0.3778 0.7500  2 K 3.20, 2 Mo 3.52-3.55

Values from the calculation:
Energy relative to the elements in eV per formula unit: 2.56
SG: P6_3/m, No. 176
M_tot in μB per formula unit: 0.0

Below is a geometry-optimized KMo structure, with properties calculated at the GGA-PBE level.

Cell: 2.7520 2.7520 6.2486 Å, 90.00 90.00 110.02°
Last column: nearest neighbours and their distance in Å.
Positions (direct):
K 0.0000 0.0000 0.0000  4 K 2.75
Mo 0.5000 0.5000 0.5000  4 Mo 2.75

Values from the calculation:
Energy relative to the elements in eV per formula unit: 2.93
SG: Cmmm, No. 65
M_tot in μB per formula unit: 0.0

Below is a geometry-optimized K3Mo structure, with properties calculated at the GGA-PBE level.

Cell: 8.3456 8.3456 6.8996 Å, 65.70 65.70 28.50°
Last column: nearest neighbours and their distance in Å.
Positions (direct):
K 0.7064 0.7064 0.7935  2 Mo 3.66
K 0.2936 0.2936 0.2065  2 Mo 3.66
K 0.5000 0.5000 0.5000  4 Mo 4.02, 2 K 4.11
Mo 0.0000 0.0000 0.0000  8 K 3.66-4.02

Values from the calculation:
Energy relative to the elements in eV per formula unit: 4.66
SG: C2/m, No. 12
M_tot in μB per formula unit: 4.9

Below is a geometry-optimized KMo structure, with properties calculated at the GGA-PBE level.

Cell: 15.5698 2.8991 8.6575 Å, 90.00 90.00 90.00°
Last column: nearest neighbours and their distance in Å.
Positions (direct):
K 0.5000 0.3354 0.5501  2 K 2.90
K 0.7785 0.5584 0.7288  2 K 2.90
K 0.0000 0.6646 0.0501  2 K 2.90
K 0.2785 0.4416 0.2288  2 K 2.90
K 0.7215 0.4416 0.2288  2 K 2.90
K 0.2215 0.5584 0.7288  2 K 2.90
Mo 0.0000 0.9116 0.6412  2 Mo 2.40
Mo 0.5790 0.7848 0.9266  2 Mo 2.40-2.46
Mo 0.0790 0.2152 0.4266  2 Mo 2.40-2.46
Mo 0.5000 0.0884 0.1412  2 Mo 2.40
Mo 0.9210 0.2152 0.4266  2 Mo 2.40-2.46
Mo 0.4210 0.7848 0.9266  2 Mo 2.40-2.46

Values from the calculation:
Energy relative to the elements in eV per formula unit: 2.13
SG: Pmn2_1, No. 31
M_tot in μB per formula unit: 0.0

| no. | distance to the lowest polymorph of the same formula (meV/atom) | final energy (Ha/atom) |
| --- | --- | --- |
| 1 | 371.0 | -0.178 |
| 2 | 298.3 | -0.181 |
| 3 | 353.5 | -0.179 |
| 4 | 1979.3 | -0.119 |
| 5 | 533.7 | -0.172 |
| 6 | 719.7 | -0.165 |
| 7 | 433.1 | -0.087 |
| 8 | 320.5 | -0.180 |